Here is a relaxed structure of VIO2 from Alexandria. Energies are from PBE+U.

Cell lengths 3.2854, 3.2854, 22.8596 Å; angles 90.00, 90.00, 120.00 degrees
Space group R-3m (No. 166, hexagonal axes)
Unique sites:
1 V 0.0000 0.0000 0.0000 x3
2 I 0.0000 0.0000 0.5000 x3
3 O 0.0000 0.0000 0.0775 x6

Output
VASP energy (eV per formula unit): -18.51
Fermi-level density of states (states/eV/f.u.): 3.20